# CoIr6Os

A relaxed structure of CoIr6Os (GGA-PBE, OQMD via LeMat-Bulk).

Lattice parameters (Å, degrees): 5.473 5.473 4.368 90.00 90.00 120.00
Sites, in units of the cell vectors:
Co 0.000 0.000 0.000
Ir 0.165 0.330 0.500
Ir 0.165 0.835 0.500
Ir 0.501 0.002 0.000
Ir 0.501 0.499 0.000
Ir 0.670 0.835 0.500
Ir 0.998 0.499 0.000
Os 0.667 0.333 0.500

Energy relative to the elements = 0.02 eV/atom
Size of the total moment = 0.3512 μB per atom
VASP energy = -0.32736 Ha/atom
Volume = 113 Å³/cell

***

# PrGaCu2Ge

A relaxed structure of PrGaCu2Ge (GGA-PBE, OQMD via LeMat-Bulk).

Lattice parameters (Å, degrees): 4.198 4.198 10.214 90.00 90.00 90.00
Sites, in units of the cell vectors:
Pr 0.250 0.250 0.243
Pr 0.750 0.750 0.757
Ga 0.250 0.750 0.500
Ga 0.750 0.250 0.500
Cu 0.250 0.250 0.633
Cu 0.250 0.750 0.000
Cu 0.750 0.250 0.000
Cu 0.750 0.750 0.367
Ge 0.250 0.250 0.869
Ge 0.750 0.750 0.131

Size of the total moment = 0.0002 μB per atom
VASP energy = -0.16505 Ha/atom
Volume = 180 Å³/cell

***

# ErIrAu

A relaxed structure of ErIrAu (GGA-PBE, OQMD via LeMat-Bulk).

Lattice parameters (Å, degrees): 6.475 6.475 6.475 90.00 90.00 90.00
Sites, in units of the cell vectors:
Er 0.000 0.000 0.000
Er 0.000 0.500 0.500
Er 0.500 0.000 0.500
Er 0.500 0.500 0.000
Ir 0.250 0.250 0.250
Ir 0.250 0.750 0.750
Ir 0.750 0.250 0.750
Ir 0.750 0.750 0.250
Au 0.250 0.250 0.750
Au 0.250 0.750 0.250
Au 0.750 0.250 0.250
Au 0.750 0.750 0.750

Energy relative to the elements = -0.07 eV/atom
Energy above the most stable polymorph in this dataset = 282 meV per atom
Size of the total moment = 0.0001 μB per atom
VASP energy = -0.20685 Ha/atom
Volume = 272 Å³/cell

***

# Tb2HoAl3CuNi2

A relaxed structure of Tb2HoAl3CuNi2 (GGA-PBE, OQMD via LeMat-Bulk).

Lattice parameters (Å, degrees): 3.946 6.963 6.963 120.05 90.00 90.00
Sites, in units of the cell vectors:
Tb 0.000 0.210 0.790
Tb 0.000 0.790 0.210
Ho 0.000 0.371 0.371
Al 0.500 0.030 0.030
Al 0.500 0.551 0.789
Al 0.500 0.789 0.551
Cu 0.000 0.789 0.789
Ni 0.500 0.125 0.456
Ni 0.500 0.456 0.125

Size of the total moment = 0.0007 μB per atom
VASP energy = -0.18312 Ha/atom
Volume = 166 Å³/cell

***

# Er

A relaxed structure of Er (GGA-PBE, OQMD via LeMat-Bulk).

Lattice parameters (Å, degrees): 4.937 4.937 4.937 90.00 90.00 90.00
Sites, in units of the cell vectors:
Er 0.000 0.000 0.000
Er 0.000 0.500 0.500
Er 0.500 0.000 0.500
Er 0.500 0.500 0.000

Energy relative to the elements = 0.06 eV/atom
Energy above the most stable polymorph in this dataset = 57 meV per atom
Size of the total moment = 0.0034 μB per atom
VASP energy = -0.16559 Ha/atom
Volume = 120 Å³/cell

***

# HfBeNO

A relaxed structure of HfBeNO (GGA-PBE, OQMD via LeMat-Bulk).

Lattice parameters (Å, degrees): 4.228 4.228 4.536 90.00 90.00 90.00
Sites, in units of the cell vectors:
Hf 0.250 0.750 0.000
Hf 0.750 0.250 0.000
Be 0.250 0.250 0.448
Be 0.750 0.750 0.552
N 0.250 0.250 0.092
N 0.750 0.750 0.908
O 0.250 0.750 0.500
O 0.750 0.250 0.500

Energy above the most stable polymorph in this dataset = 574 meV per atom
Size of the total moment = 0.0002 μB per atom
VASP energy = -0.30380 Ha/atom
Volume = 81 Å³/cell

***

# Er2ThIr9

A relaxed structure of Er2ThIr9 (GGA-PBE, OQMD via LeMat-Bulk).

Lattice parameters (Å, degrees): 9.301 9.301 9.301 33.27 33.27 33.27
Sites, in units of the cell vectors:
Er 0.141 0.141 0.141
Er 0.859 0.859 0.859
Th 0.000 0.000 0.000
Ir 0.083 0.583 0.583
Ir 0.333 0.333 0.333
Ir 0.417 0.417 0.917
Ir 0.417 0.917 0.417
Ir 0.500 0.500 0.500
Ir 0.583 0.083 0.583
Ir 0.583 0.583 0.083
Ir 0.667 0.667 0.667
Ir 0.917 0.417 0.417

Energy relative to the elements = -0.65 eV/atom
Size of the total moment = 0.0014 μB per atom
VASP energy = -0.31875 Ha/atom
Volume = 216 Å³/cell

***

# TbYZn2Au4

A relaxed structure of TbYZn2Au4 (GGA-PBE, OQMD via LeMat-Bulk).

Lattice parameters (Å, degrees): 4.843 4.843 6.846 90.00 90.00 90.00
Sites, in units of the cell vectors:
Tb 0.000 0.000 0.000
Y 0.500 0.500 0.500
Zn 0.000 0.000 0.500
Zn 0.500 0.500 0.000
Au 0.000 0.500 0.250
Au 0.000 0.500 0.750
Au 0.500 0.000 0.250
Au 0.500 0.000 0.750

Energy relative to the elements = -0.63 eV/atom
Size of the total moment = 0.0001 μB per atom
VASP energy = -0.14594 Ha/atom
Volume = 161 Å³/cell

***

Q: What is the volume in the sixth record?
A: 81 Å³/cell